Record 1
Here is an optimized crystal structure of PrTh2Se4 from Alexandria. Energies are from GGA-PBE.

Structure (CIF):
```
data_PrTh2Se4
_chemical_formula_sum 'Pr4 Th8 Se16'
_space_group_name_H-M_alt 'I -4 2 d'
_space_group_IT_number 122
_space_group_name_Hall 'I -4 2bw'
_cell_length_a 8.913
_cell_length_b 8.913
_cell_length_c 8.906
_cell_angle_alpha 90.00
_cell_angle_beta 90.00
_cell_angle_gamma 90.00
loop_
_atom_site_label
_atom_site_type_symbol
_atom_site_fract_x
_atom_site_fract_y
_atom_site_fract_z
Pr1 Pr 0.000 0.000 0.000
Th1 Th 0.129 0.750 0.625
Se1 Se 0.077 0.671 0.950
```

Values from the calculation:
- spin magnetization (μB per formula unit) = 0.00
- formation energy without anion corrections (eV per formula unit) = -11.7

Record 2
Here is an optimized crystal structure of PrThSe2 from Alexandria. Energies are from GGA-PBE.

Structure (CIF):
```
data_PrThSe2
_chemical_formula_sum 'Pr1 Th1 Se2'
_space_group_name_H-M_alt 'P 4/m m m'
_space_group_IT_number 123
_space_group_name_Hall '-P 4 2'
_cell_length_a 3.669
_cell_length_b 3.669
_cell_length_c 7.323
_cell_angle_alpha 90.00
_cell_angle_beta 90.00
_cell_angle_gamma 90.00
loop_
_atom_site_label
_atom_site_type_symbol
_atom_site_fract_x
_atom_site_fract_y
_atom_site_fract_z
Pr1 Pr 0.000 0.000 0.000
Th1 Th 0.000 0.000 0.500
Se1 Se 0.500 0.500 0.257
```

Values from the calculation:
- spin magnetization (μB per formula unit) = 0.00
- formation energy without anion corrections (eV per formula unit) = -6.1

Record 3
Here is an optimized crystal structure of PrThSe2 from Alexandria. Energies are from GGA-PBE.

Structure (CIF):
```
data_PrThSe2
_chemical_formula_sum 'Pr3 Th3 Se6'
_space_group_name_H-M_alt 'R 3 m'
_space_group_IT_number 160
_space_group_name_Hall 'R 3 -2"'
_cell_length_a 4.0533
_cell_length_b 4.0533
_cell_length_c 22.9516
_cell_angle_alpha 90.00
_cell_angle_beta 90.00
_cell_angle_gamma 120.00
loop_
_atom_site_label
_atom_site_type_symbol
_atom_site_fract_x
_atom_site_fract_y
_atom_site_fract_z
Pr1 Pr 0.0000 0.0000 0.0000
Th1 Th 0.0000 0.0000 0.8280
Se1 Se 0.0000 0.0000 0.4143
Se2 Se 0.0000 0.0000 0.5805
```

Values from the calculation:
- spin magnetization (μB per formula unit) = 0.00
- formation energy without anion corrections (eV per formula unit) = -6.5

Record 4
Here is an optimized crystal structure of Pr2Th3Se6 from Alexandria. Energies are from GGA-PBE.

Structure (CIF):
```
data_Pr2Th3Se6
_chemical_formula_sum 'Pr4 Th6 Se12'
_space_group_name_H-M_alt 'C 1 2/m 1'
_space_group_IT_number 12
_cell_length_a 7.226
_cell_length_b 12.595
_cell_length_c 7.325
_cell_angle_alpha 90.00
_cell_angle_beta 109.44
_cell_angle_gamma 90.00
loop_
_space_group_symop_operation_xyz
'x,y,z'
'-x,-y,-z'
'-x,y,-z'
'x,-y,z'
'x+1/2,y+1/2,z'
'-x+1/2,-y+1/2,-z'
'-x+1/2,y+1/2,-z'
'x+1/2,-y+1/2,z'
loop_
_atom_site_label
_atom_site_type_symbol
_atom_site_fract_x
_atom_site_fract_y
_atom_site_fract_z
Pr1 Pr 0.000 0.167 0.000
Th1 Th 0.000 0.000 0.500
Th2 Th 0.000 0.333 0.500
Se1 Se 0.240 0.500 0.754
Se2 Se 0.243 0.339 0.246
```

Values from the calculation:
- spin magnetization (μB per formula unit) = 0.00
- formation energy without anion corrections (eV per formula unit) = -18.8

Record 5
Here is an optimized crystal structure of Pr5ThSe8 from Alexandria. Energies are from GGA-PBE.

Structure (CIF):
```
data_Pr5ThSe8
_chemical_formula_sum 'Pr10 Th2 Se16'
_space_group_name_H-M_alt 'I -4'
_space_group_IT_number 82
_cell_length_a 9.220
_cell_length_b 9.220
_cell_length_c 8.715
_cell_angle_alpha 90.00
_cell_angle_beta 90.00
_cell_angle_gamma 90.00
loop_
_space_group_symop_operation_xyz
'x,y,z'
'y,-x,-z'
'-x,-y,z'
'-y,x,-z'
'x+1/2,y+1/2,z+1/2'
'y+1/2,-x+1/2,-z+1/2'
'-x+1/2,-y+1/2,z+1/2'
'-y+1/2,x+1/2,-z+1/2'
loop_
_atom_site_label
_atom_site_type_symbol
_atom_site_fract_x
_atom_site_fract_y
_atom_site_fract_z
Pr1 Pr 0.000 0.000 0.000
Pr2 Pr 0.158 0.251 0.373
Th1 Th 0.000 0.500 0.750
Se1 Se 0.066 0.178 0.694
Se2 Se 0.066 0.327 0.051
```

Values from the calculation:
- spin magnetization (μB per formula unit) = 0.00
- formation energy without anion corrections (eV per formula unit) = -25.4

Record 6
Here is an optimized crystal structure of Pr2Th2Se7 from Alexandria. Energies are from GGA-PBE.

Structure (CIF):
```
data_Pr2Th2Se7
_chemical_formula_sum 'Pr4 Th4 Se14'
_space_group_name_H-M_alt 'I m m 2'
_space_group_IT_number 44
_cell_length_a 4.260
_cell_length_b 14.996
_cell_length_c 9.239
_cell_angle_alpha 90.00
_cell_angle_beta 90.00
_cell_angle_gamma 90.00
loop_
_space_group_symop_operation_xyz
'x,y,z'
'-x,-y,z'
'-x,y,z'
'x,-y,z'
'x+1/2,y+1/2,z+1/2'
'-x+1/2,-y+1/2,z+1/2'
'-x+1/2,y+1/2,z+1/2'
'x+1/2,-y+1/2,z+1/2'
loop_
_atom_site_label
_atom_site_type_symbol
_atom_site_fract_x
_atom_site_fract_y
_atom_site_fract_z
Pr1 Pr 0.000 0.000 0.000
Pr2 Pr 0.000 0.500 0.043
Th1 Th 0.000 0.239 0.247
Se1 Se 0.000 0.000 0.317
Se2 Se 0.000 0.114 0.724
Se3 Se 0.000 0.314 0.943
Se4 Se 0.000 0.357 0.549
```

Values from the calculation:
- spin magnetization (μB per formula unit) = 0.00
- formation energy without anion corrections (eV per formula unit) = -19.8

Record 7
Here is an optimized crystal structure of Pr2ThSe4 from Alexandria. Energies are from GGA-PBE.

Structure (CIF):
```
data_Pr2ThSe4
_chemical_formula_sum 'Pr8 Th4 Se16'
_space_group_name_H-M_alt 'C m c m'
_space_group_IT_number 63
_space_group_name_Hall '-C 2c 2'
_cell_length_a 4.130
_cell_length_b 14.099
_cell_length_c 14.021
_cell_angle_alpha 90.00
_cell_angle_beta 90.00
_cell_angle_gamma 90.00
loop_
_atom_site_label
_atom_site_type_symbol
_atom_site_fract_x
_atom_site_fract_y
_atom_site_fract_z
Pr1 Pr 0.000 0.134 0.070
Th1 Th 0.000 0.372 0.250
Se1 Se 0.000 0.021 0.250
Se2 Se 0.000 0.222 0.627
Se3 Se 0.000 0.500 0.000
```

Values from the calculation:
- spin magnetization (μB per formula unit) = 0.00
- formation energy without anion corrections (eV per formula unit) = -12.2

Record 8
Here is an optimized crystal structure of PrTh2Se3 from Alexandria. Energies are from GGA-PBE.

Structure (CIF):
```
data_PrTh2Se3
_chemical_formula_sum 'Pr4 Th8 Se12'
_space_group_name_H-M_alt 'P 1 21/c 1'
_space_group_IT_number 14
_cell_length_a 5.973
_cell_length_b 12.824
_cell_length_c 8.335
_cell_angle_alpha 90.00
_cell_angle_beta 90.01
_cell_angle_gamma 90.00
loop_
_space_group_symop_operation_xyz
'x,y,z'
'-x,-y,-z'
'-x,y+1/2,-z+1/2'
'x,-y+1/2,z+1/2'
loop_
_atom_site_label
_atom_site_type_symbol
_atom_site_fract_x
_atom_site_fract_y
_atom_site_fract_z
Pr1 Pr 0.250 0.080 0.126
Th1 Th 0.250 0.083 0.623
Th2 Th 0.252 0.748 0.624
Se1 Se 0.248 0.249 0.875
Se2 Se 0.250 0.584 0.371
Se3 Se 0.250 0.585 0.878
```

Values from the calculation:
- spin magnetization (μB per formula unit) = 0.00
- formation energy without anion corrections (eV per formula unit) = -9.8

Record 9
Here is an optimized crystal structure of Pr2Th3Se8 from Alexandria. Energies are from GGA-PBE.

Structure (CIF):
```
data_Pr2Th3Se8
_chemical_formula_sum 'Pr2 Th3 Se8'
_space_group_name_H-M_alt 'P 1 2/m 1'
_space_group_IT_number 10
_cell_length_a 7.519
_cell_length_b 4.290
_cell_length_c 13.696
_cell_angle_alpha 90.00
_cell_angle_beta 101.33
_cell_angle_gamma 90.00
loop_
_space_group_symop_operation_xyz
'x,y,z'
'-x,-y,-z'
'-x,y,-z'
'x,-y,z'
loop_
_atom_site_label
_atom_site_type_symbol
_atom_site_fract_x
_atom_site_fract_y
_atom_site_fract_z
Pr1 Pr 0.247 0.000 0.251
Th1 Th 0.245 0.500 0.734
Th2 Th 0.500 0.000 0.000
Se1 Se 0.121 0.500 0.368
Se2 Se 0.142 0.000 0.869
Se3 Se 0.380 0.000 0.629
Se4 Se 0.380 0.500 0.124
```

Values from the calculation:
- spin magnetization (μB per formula unit) = 0.00
- formation energy without anion corrections (eV per formula unit) = -22.1

Record 10
Here is an optimized crystal structure of Pr2ThTl3Se6 from Alexandria. Energies are from GGA-PBE.

Structure (CIF):
```
data_Pr2ThTl3Se6
_chemical_formula_sum 'Pr4 Th2 Tl6 Se12'
_space_group_name_H-M_alt 'C 1 2/m 1'
_space_group_IT_number 12
_cell_length_a 7.450
_cell_length_b 12.902
_cell_length_c 8.227
_cell_angle_alpha 90.00
_cell_angle_beta 107.56
_cell_angle_gamma 90.00
loop_
_space_group_symop_operation_xyz
'x,y,z'
'-x,-y,-z'
'-x,y,-z'
'x,-y,z'
'x+1/2,y+1/2,z'
'-x+1/2,-y+1/2,-z'
'-x+1/2,y+1/2,-z'
'x+1/2,-y+1/2,z'
loop_
_atom_site_label
_atom_site_type_symbol
_atom_site_fract_x
_atom_site_fract_y
_atom_site_fract_z
Pr1 Pr 0.000 0.166 0.000
Th1 Th 0.000 0.500 0.000
Tl1 Tl 0.000 0.000 0.500
Tl2 Tl 0.000 0.331 0.500
Se1 Se 0.233 0.338 0.214
Se2 Se 0.248 0.000 0.216
```

Values from the calculation:
- spin magnetization (μB per formula unit) = 0.00
- formation energy without anion corrections (eV per formula unit) = -15.7

These records have DOS at the Fermi energy values of 0.8825 0.6596 0.7622 0.5342 0.4952 0.0148 0.5457 0.7559 0.3059 0.5024 states/eV per atom, in the order they appear.